First-principles (GGA-PBE) data for crystalline Pt3Pb2Se2 at its relaxed geometry, as listed in OQMD via LeMat-Bulk.

Its crystal system is orthorhombic. The total energy comes out at -5.0089 eV per atom.

It has space group Cmcm (No. 63), with a = 9.1210 Å, b = 12.5248 Å, c = 5.6516 Å, α = 90.00°, β = 90.00° and γ = 90.00°. The inequivalent atoms are Pt at (0.0000, 0.1610, 0.2500), Pt at (0.2271, 0.5000, 0.0000), Pb at (0.0000, 0.1073, 0.7500), Pb at (0.0000, 0.3829, 0.2500) and Se at (0.2316, 0.3390, 0.7500).